GaFeF2 PBE with a Hubbard U relaxed; density of states at the Fermi level = 1.8 states/eV/f.u.; DFT total energy = -0.1633 Ha/atom
1.0
5.612 0.000 0.000
0.000 5.612 0.000
2.806 2.806 5.139
Fe Ga F
2 2 4
Direct
0.500 0.500 0.000
0.250 0.750 0.500
0.000 0.000 0.000
0.750 0.250 0.500
0.481 0.125 0.250
0.269 0.625 0.250
0.375 0.519 0.750
0.875 0.731 0.750